Computed, not measured: a relaxed Hf2Cl crystal at the PBE level of DFT.

Calculated values
Its energy above the most stable polymorph in this dataset is 1.274 eV/atom. As for the symmetry: Fd-3m, No. 227.

POSCAR file:
```
Hf2Cl
1.0
-0.172 2.604 7.186
3.117 6.775 1.686
-4.480 5.924 1.813
Cl Hf
2 4
Cartesian
-0.767 7.652 5.343
-0.384 3.826 2.671
-0.661 7.041 7.600
-0.575 5.739 4.007
-2.815 8.701 4.914
0.983 9.126 4.850
```